1.
A plane-wave DFT calculation with PBE-GGA was carried out for a relaxed structure of Nb2Ru3Rh.

Computed properties:
- M_tot (μB/atom) = 0.00
- formation energy (eV/atom) = -0.049
- offset from the most stable computed form (meV/atom) = 0.0

Cell lengths 4.2785, 7.0808, 8.8226 Å; angles 128.74, 90.00, 107.58 degrees
Closest atoms and distances in Å follow each position.
Fractional positions:
Ru 0.9577 0.9154 0.6004  6 Ru 2.63-2.88, 3 Nb 2.72-2.73, 1 Rh 2.93
Ru 0.3895 0.7790 0.3276  4 Ru 2.50-2.74, 2 Nb 2.55
Ru 0.0423 0.0846 0.3996  6 Ru 2.63-2.88, 3 Nb 2.72-2.73, 1 Rh 2.93
Ru 0.2472 0.4943 0.4229  4 Ru 2.51-2.63, 1 Nb 2.59, 1 Rh 2.61
Ru 0.6105 0.2210 0.6724  4 Ru 2.50-2.74, 2 Nb 2.55
Ru 0.7528 0.5057 0.5771  4 Ru 2.51-2.63, 1 Nb 2.59, 1 Rh 2.61
Nb 0.5372 0.0743 0.2049  4 Ru 2.59-2.82, 2 Rh 2.74
Nb 0.4628 0.9257 0.7951  4 Ru 2.59-2.82, 2 Rh 2.74
Nb 0.7743 0.5486 0.1288  3 Ru 2.55-2.73, 3 Rh 2.72-2.77
Nb 0.2257 0.4514 0.8712  3 Ru 2.55-2.73, 3 Rh 2.72-2.77
Rh 0.1117 0.2235 0.0353  2 Ru 2.61-2.83, 1 Rh 2.65, 5 Nb 2.72-2.77
Rh 0.8883 0.7765 0.9647  2 Ru 2.61-2.83, 1 Rh 2.65, 5 Nb 2.72-2.77

***

2.
A plane-wave DFT calculation with PBE-GGA was carried out for a relaxed structure of Ca3NiGe2.

Computed properties:
- M_tot (μB/atom) = 0.00
- formation energy (eV/atom) = -0.430

Cell lengths 7.2440, 9.3482, 10.6433 Å; angles 90.00, 122.73, 90.00 degrees
Closest atoms and distances in Å follow each position.
Fractional positions:
Ge 0.3002 0.6960 0.3845  1 Ni 2.27
Ge 0.7814 0.8388 0.3847  1 Ni 2.37
Ge 0.1998 0.1960 0.1155  1 Ni 2.27
Ge 0.7186 0.3388 0.1153  1 Ni 2.37
Ge 0.8002 0.8040 0.8845  1 Ni 2.27
Ge 0.2186 0.1612 0.6153  1 Ni 2.37
Ge 0.6998 0.3040 0.6155  1 Ni 2.27
Ge 0.2814 0.6612 0.8847  1 Ni 2.37
Ni 0.9823 0.3921 0.0558  2 Ge 2.27-2.37, 1 Ni 2.42
Ni 0.0177 0.6079 0.9442  2 Ge 2.27-2.37, 1 Ni 2.42
Ni 0.5177 0.8921 0.4442  2 Ge 2.27-2.37, 1 Ni 2.42
Ni 0.4823 0.1079 0.5558  2 Ge 2.27-2.37, 1 Ni 2.42
Ca 0.0677 0.0147 0.2963  2 Ni 2.90-2.98, 3 Ge 3.08-3.25
Ca 0.8100 0.6189 0.6065  4 Ge 3.05-3.21, 2 Ni 3.06-3.17
Ca 0.9323 0.9853 0.7037  2 Ni 2.90-2.98, 3 Ge 3.08-3.25
Ca 0.6834 0.1691 0.3564  5 Ge 2.98-3.33, 2 Ni 3.20-3.21
Ca 0.1834 0.3309 0.8564  5 Ge 2.98-3.33, 2 Ni 3.20-3.21
Ca 0.5677 0.4853 0.7963  2 Ni 2.90-2.98, 3 Ge 3.08-3.25
Ca 0.3100 0.8811 0.1065  4 Ge 3.05-3.21, 2 Ni 3.06-3.17
Ca 0.4323 0.5147 0.2037  2 Ni 2.90-2.98, 3 Ge 3.08-3.25
Ca 0.1900 0.3811 0.3935  4 Ge 3.05-3.21, 2 Ni 3.06-3.17
Ca 0.6900 0.1189 0.8935  4 Ge 3.05-3.21, 2 Ni 3.06-3.17
Ca 0.8166 0.6691 0.1436  5 Ge 2.98-3.33, 2 Ni 3.20-3.21
Ca 0.3166 0.8309 0.6436  5 Ge 2.98-3.33, 2 Ni 3.20-3.21

***

3.
A plane-wave DFT calculation with PBE-GGA was carried out for a relaxed structure of LuCuBi.

Computed properties:
- M_tot (μB/atom) = 0.00
- formation energy (eV/atom) = -0.313

Cell lengths 4.2292, 4.3727, 4.3727 Å; angles 120.00, 90.00, 90.00 degrees
Closest atoms and distances in Å follow each position.
Fractional positions:
Lu 0.7177 0.6667 0.3333  3 Cu 2.86
Cu 0.0360 0.0000 0.0000  3 Bi 2.68, 3 Lu 2.86
Bi 0.2463 0.3333 0.6667  3 Cu 2.68

***

4.
A plane-wave DFT calculation with PBE-GGA was carried out for a relaxed structure of Re2Au2Cl.

Computed properties:
- M_tot (μB/atom) = 0.23
- formation energy without anion corrections (eV/atom) = 1.202

Cell lengths 6.7777, 6.7777, 6.7777 Å; angles 146.14, 146.14, 48.63 degrees
Closest atoms and distances in Å follow each position.
Fractional positions:
Cl 0.0000 0.0000 0.0000  8 Re 3.02
Re 0.4068 0.4068 0.0000  1 Re 2.30
Re 0.5932 0.5932 0.0000  1 Re 2.30
Au 0.7500 0.2500 0.5000  4 Re 2.77, 4 Au 2.79
Au 0.2500 0.7500 0.5000  4 Re 2.77, 4 Au 2.79

***

5.
A plane-wave DFT calculation with PBE-GGA was carried out for a relaxed structure of Ac6Tl5.

Computed properties:
- M_tot (μB/atom) = 0.00
- formation energy (eV/atom) = -0.283
- offset from the most stable computed form (meV/atom) = 0.0

Cell lengths 5.8157, 8.1793, 10.0299 Å; angles 114.07, 106.84, 89.99 degrees
Closest atoms and distances in Å follow each position.
Fractional positions:
Tl 0.3371 0.3371 0.6743  8 Ac 3.51-3.61
Tl 0.0000 0.5000 0.0000  8 Ac 3.54-3.58
Tl 0.6651 0.1651 0.3302  8 Ac 3.50-3.61
Tl 0.3349 0.8349 0.6698  8 Ac 3.50-3.61
Tl 0.6629 0.6629 0.3257  8 Ac 3.51-3.61
Ac 0.8351 0.5889 0.6703  7 Tl 3.54-3.61
Ac 0.1648 0.9187 0.3297  7 Tl 3.54-3.61
Ac 0.5001 0.2452 0.0000  6 Tl 3.50-3.58
Ac 0.1649 0.4111 0.3297  7 Tl 3.54-3.61
Ac 0.4999 0.7548 0.0000  6 Tl 3.50-3.58
Ac 0.8352 0.0813 0.6703  7 Tl 3.54-3.61

***

6.
A plane-wave DFT calculation with PBE-GGA was carried out for a relaxed structure of CeHo2Co.

Computed properties:
- M_tot (μB/atom) = 0.42
- formation energy (eV/atom) = 0.053
- offset from the most stable computed form (meV/atom) = 238.6

Cell lengths 3.6924, 3.6924, 9.3974 Å; angles 78.67, 78.67, 60.00 degrees
Closest atoms and distances in Å follow each position.
Fractional positions:
Ho 0.0559 0.0559 0.8323  3 Co 2.64
Ho 0.2766 0.2766 0.1703  3 Co 2.63
Co 0.6661 0.6661 0.0017  6 Ho 2.63-2.64
Ce 0.5014 0.5014 0.4957  6 Ho 3.66-3.75, 6 Ce 3.69

***

no.,calculated volume (Å³/f.u.)
1,96.11
2,151.58
3,70.03
4,96.22
5,413.14
6,108.06